a) Density functional theory data (PBE) for a relaxed structure of YBeI2N.

Summary:
ρ in g/cm³: 3.86

Structure (POSCAR):
```
YBeI2N
1.0
6.1645 0.0000 0.0000
0.0000 6.1645 0.0000
0.0000 0.0000 4.1377
I Be N Y
2 1 1 1
direct
0.5000 0.0000 0.0000 I
0.0000 0.5000 0.0000 I
0.5000 0.5000 0.5000 Be
0.0000 0.0000 0.5000 N
0.0000 0.0000 0.0000 Y
```


b) Density functional theory data (PBE) for a relaxed structure of YBeI2N.

Summary:
ρ in g/cm³: 5.61

Structure (POSCAR):
```
YBeI2N
1.0
-2.9115 -1.3250 -4.6379
3.4467 -4.3612 -0.9178
-2.0425 -2.0045 1.8549
I N Y Be
2 1 1 1
direct
0.0000 0.5000 0.0000 I
0.5000 0.0000 0.0000 I
0.0000 0.0000 0.5000 N
0.5000 0.5000 0.5000 Y
0.0000 0.0000 0.0000 Be
```


What should be chosen as the most stable of them? Choose b).


a) Density functional theory data (PBE) for a relaxed structure of BeZnIN2.

Summary:
ρ in g/cm³: 3.82

Structure (POSCAR):
```
BeZnIN2
1.0
3.7717 0.0000 0.0000
0.0000 3.7717 0.0000
0.0000 0.0000 7.0049
Be N I Zn
1 2 1 1
direct
0.5000 0.5000 0.5000 Be
0.5000 0.0000 0.0000 N
0.0000 0.5000 0.0000 N
0.0000 0.0000 0.5000 I
0.0000 0.0000 0.0000 Zn
```


b) Density functional theory data (PBE) for a relaxed structure of BeZnIN2.

Summary:
ρ in g/cm³: 4.47

Structure (POSCAR):
```
BeZnIN2
1.0
-0.1897 -2.3215 -2.7917
3.6103 0.1760 -0.3917
0.6825 -4.9472 4.0677
N I Zn Be
2 1 1 1
direct
0.0000 0.5000 0.0000 N
0.5000 0.0000 0.0000 N
0.0000 0.0000 0.5000 I
0.5000 0.5000 0.5000 Zn
0.0000 0.0000 0.0000 Be
```


What should be chosen as the most stable of them? Choose b).